First-principles (PBE) data for a relaxed Ba2ZnGaTe5 crystal, as listed in Alexandria.

## Properties
The symmetry is Cmc2_1.

Geometry as CIF:
```
data_Ba2ZnGaTe5
_chemical_formula_sum 'Ba4 Zn2 Ga2 Te10'
_symmetry_space_group_name_H-M 'P 1'
_symmetry_Int_Tables_number 1
_cell_length_a 11.055
_cell_length_b 11.055
_cell_length_c 13.344
_cell_angle_alpha 90.00
_cell_angle_beta 90.00
_cell_angle_gamma 156.77
loop_
_symmetry_equiv_pos_as_xyz
'x,y,z'
loop_
_atom_site_label
_atom_site_fract_x
_atom_site_fract_y
_atom_site_fract_z
_atom_site_occupancy
Ba1 0.114 0.886 0.500 1
Ba2 0.120 0.880 0.886 1
Ba3 0.880 0.120 0.386 1
Ba4 0.886 0.114 0.000 1
Zn1 0.237 0.763 0.234 1
Zn2 0.763 0.237 0.734 1
Ga1 0.434 0.566 0.658 1
Ga2 0.566 0.434 0.158 1
Te1 0.035 0.965 0.262 1
Te2 0.284 0.716 0.869 1
Te3 0.312 0.688 0.616 1
Te4 0.355 0.645 0.194 1
Te5 0.489 0.511 0.481 1
Te6 0.511 0.489 0.981 1
Te7 0.645 0.355 0.694 1
Te8 0.688 0.312 0.116 1
Te9 0.716 0.284 0.369 1
Te10 0.965 0.035 0.762 1
```

=====

First-principles (PBE) data for a relaxed Ba2ZrGaTe5 crystal, as listed in Alexandria.

## Properties
The symmetry is Cmc2_1.

Geometry as CIF:
```
data_Ba2ZrGaTe5
_chemical_formula_sum 'Ba4 Zr2 Ga2 Te10'
_symmetry_space_group_name_H-M 'P 1'
_symmetry_Int_Tables_number 1
_cell_length_a 10.345
_cell_length_b 10.345
_cell_length_c 13.912
_cell_angle_alpha 90.00
_cell_angle_beta 90.00
_cell_angle_gamma 154.52
loop_
_symmetry_equiv_pos_as_xyz
'x,y,z'
loop_
_atom_site_label
_atom_site_fract_x
_atom_site_fract_y
_atom_site_fract_z
_atom_site_occupancy
Ba1 0.120 0.880 0.500 1
Ba2 0.129 0.871 0.121 1
Ba3 0.871 0.129 0.621 1
Ba4 0.880 0.120 0.000 1
Zr1 0.209 0.791 0.829 1
Zr2 0.791 0.209 0.329 1
Ga1 0.439 0.561 0.249 1
Ga2 0.561 0.439 0.749 1
Te1 0.058 0.942 0.854 1
Te2 0.291 0.709 0.467 1
Te3 0.308 0.692 0.184 1
Te4 0.350 0.650 0.813 1
Te5 0.499 0.501 0.581 1
Te6 0.501 0.499 0.081 1
Te7 0.650 0.350 0.313 1
Te8 0.692 0.308 0.684 1
Te9 0.709 0.291 0.967 1
Te10 0.942 0.058 0.354 1
```

=====

Quick rundown of calculated density, same order as above: 5.4; 5.6 g cm⁻³
Quick rundown of E_form (uncorrected), same order as above: -879; -1100 meV/atom